Compound: NdCu2PbO5
Source: Alexandria via LeMat-Bulk
Functional: PBE-GGA
Structure: optimized geometry

formation energy without anion corrections = -1358.6 meV per atom
total DFT energy (no corrections) = -53.7 eV/cell
symmetry = P4/mmm (123)

Cell: 3.884 3.884 7.745 Å, 90.00 90.00 90.00°
Atoms (fractional coordinates):
Nd1 0.000 0.000 0.000
Cu1 0.500 0.500 0.240
Cu2 0.500 0.500 0.760
Pb1 0.000 0.000 0.500
O1 0.000 0.500 0.196
O2 0.000 0.500 0.804
O3 0.500 0.000 0.196
O4 0.500 0.000 0.804
O5 0.500 0.500 0.500